First-principles (PBE-GGA) data for a relaxed structure of Cr2FeSe, as listed in Alexandria via LeMat-Bulk.

Properties
**Uncorrected formation energy**: 278 meV per atom

extended XYZ file:
```
4
Lattice="4.139 0.000 0.000 0.000 4.139 0.000 0.000 0.000 2.925" Properties=species:S:1:pos:R:3 pbc="T T T"
Cr 0.000 2.069 0.000
Cr 2.069 0.000 0.000
Fe 0.000 0.000 1.463
Se 2.069 2.069 1.463
```